1.
Compound: UAl2V
Source: the Alexandria database
Functional: PBE-GGA
Structure: optimized geometry

Unit cell a=2.8198 b=2.8198 c=9.9665 alpha=81.87 beta=81.87 gamma=60.00
With the nearest neighbours (Å) after each atom.
Fractional positions:
1 U 0.5000 0.5000 0.5000  6 U 2.82
2 Al 0.7406 0.7406 0.7783  3 V 2.72, 6 Al 2.82
3 Al 0.2594 0.2594 0.2217  3 V 2.72, 6 Al 2.82
4 V 0.0000 0.0000 0.0000  6 Al 2.72, 6 V 2.82

Computed properties:
energy of formation from the pure elements	-0.650	kcal/mol of atoms

2.
Compound: NiTeP2Pt
Source: the Alexandria database
Functional: PBE-GGA
Structure: optimized geometry

Unit cell a=4.1999 b=5.4442 c=4.1999 alpha=90.00 beta=90.00 gamma=90.00
With the nearest neighbours (Å) after each atom.
Fractional positions:
1 Ni 0.0000 0.0000 0.0000  4 P 2.10
2 Te 0.0000 0.5000 0.0000  2 Ni 2.72, 4 Pt 2.97
3 Pt 0.5000 0.5000 0.5000  4 Te 2.97
4 P 0.0000 0.0000 0.5000  2 Ni 2.10
5 P 0.5000 0.0000 0.0000  2 Ni 2.10

Computed properties:
ΔE to the lowest computed polymorph	0.857	eV per atom
raw formation energy	557	meV per atom

3.
Compound: Pr2In2Ni3
Source: the Alexandria database
Functional: PBE-GGA
Structure: optimized geometry

Unit cell a=4.2486 b=5.3614 c=7.0728 alpha=84.12 beta=107.48 gamma=90.00
With the nearest neighbours (Å) after each atom.
Fractional positions:
1 Pr 0.3610 0.1228 0.7220  6 Ni 2.84-3.09
2 Pr 0.6390 0.8772 0.2780  6 Ni 2.84-3.09
3 In 0.1077 0.3722 0.2155  4 Ni 2.59-2.72
4 In 0.8923 0.6278 0.7845  4 Ni 2.59-2.72
5 Ni 0.0000 0.0000 0.0000  2 In 2.59, 4 Pr 2.86
6 Ni 0.2663 0.6223 0.5327  2 Ni 2.56, 3 In 2.64-2.72, 1 Pr 2.84
7 Ni 0.7337 0.3777 0.4673  2 Ni 2.56, 3 In 2.64-2.72, 1 Pr 2.84

Computed properties:
energy of formation from the pure elements	-6.850	kcal/mol of atoms

4.
Compound: Cs2BeSiI6
Source: the Alexandria database
Functional: PBE-GGA
Structure: optimized geometry

Unit cell a=8.1203 b=8.1203 c=8.1153 alpha=59.98 beta=59.98 gamma=90.00
With the nearest neighbours (Å) after each atom.
Fractional positions:
1 Cs 0.7500 0.2500 0.5000  12 I 4.06
2 Cs 0.2500 0.7500 0.5000  12 I 4.06
3 I 0.2590 0.2590 0.4820  1 Be 2.76, 1 Si 2.97
4 I 0.7410 0.7410 0.5180  1 Be 2.76, 1 Si 2.97
5 I 0.2580 0.2580 0.0000  1 Be 2.78, 1 Si 2.96
6 I 0.7420 0.7420 0.0000  1 Be 2.78, 1 Si 2.96
7 I 0.7420 0.2580 0.0000  1 Be 2.78, 1 Si 2.96
8 I 0.2580 0.7420 0.0000  1 Be 2.78, 1 Si 2.96
9 Si 0.0000 0.0000 0.0000  6 I 2.96-2.97
10 Be 0.5000 0.5000 0.0000  6 I 2.76-2.78

Computed properties:
raw formation energy	-660	meV per atom

5.
Compound: Ac12SiHg6
Source: the Alexandria database
Functional: PBE-GGA
Structure: optimized geometry

Unit cell a=9.0125 b=9.0125 c=9.0125 alpha=93.40 beta=93.40 gamma=93.40
With the nearest neighbours (Å) after each atom.
Fractional positions:
1 Ac 0.8051 0.5680 0.4579  4 Hg 3.36-3.60
2 Ac 0.4579 0.8051 0.5680  4 Hg 3.36-3.60
3 Ac 0.5680 0.4579 0.8051  4 Hg 3.36-3.60
4 Ac 0.1949 0.4320 0.5421  4 Hg 3.36-3.60
5 Ac 0.5421 0.1949 0.4320  4 Hg 3.36-3.60
6 Ac 0.4320 0.5421 0.1949  4 Hg 3.36-3.60
7 Ac 0.9578 0.0909 0.3194  1 Si 3.00, 1 Hg 3.35
8 Ac 0.9091 0.6806 0.0422  1 Si 3.00, 1 Hg 3.35
9 Ac 0.6806 0.0422 0.9091  1 Si 3.00, 1 Hg 3.35
10 Ac 0.0422 0.9091 0.6806  1 Si 3.00, 1 Hg 3.35
11 Ac 0.0909 0.3194 0.9578  1 Si 3.00, 1 Hg 3.35
12 Ac 0.3194 0.9578 0.0909  1 Si 3.00, 1 Hg 3.35
13 Si 0.0000 0.0000 0.0000  6 Ac 3.00
14 Hg 0.6562 0.8538 0.2590  8 Ac 3.35-3.68
15 Hg 0.7410 0.3438 0.1462  8 Ac 3.35-3.68
16 Hg 0.1462 0.7410 0.3438  8 Ac 3.35-3.68
17 Hg 0.3438 0.1462 0.7410  8 Ac 3.35-3.68
18 Hg 0.2590 0.6562 0.8538  8 Ac 3.35-3.68
19 Hg 0.8538 0.2590 0.6562  8 Ac 3.35-3.68

Computed properties:
raw formation energy	-244	meV per atom

6.
Compound: V2Mo2Ru
Source: the Alexandria database
Functional: PBE-GGA
Structure: optimized geometry

Unit cell a=4.3413 b=4.3303 c=7.9930 alpha=90.00 beta=105.71 gamma=90.00
With the nearest neighbours (Å) after each atom.
Fractional positions:
1 V 0.2493 0.2500 0.9987  4 Mo 2.64-2.65, 4 Ru 2.64-2.66
2 V 0.9474 0.7500 0.3954  2 Ru 2.65, 4 Mo 2.66-2.68, 2 V 2.70
3 V 0.0526 0.2500 0.6046  2 Ru 2.65, 4 Mo 2.66-2.68, 2 V 2.70
4 V 0.7507 0.7500 0.0013  4 Mo 2.64-2.65, 4 Ru 2.64-2.66
5 Mo 0.5499 0.7500 0.5986  4 Mo 2.64-2.68, 2 V 2.67-2.68, 2 Ru 2.68
6 Mo 0.6516 0.2500 0.8037  6 V 2.64-2.66, 2 Mo 2.68
7 Mo 0.4501 0.2500 0.4014  4 Mo 2.64-2.68, 2 V 2.67-2.68, 2 Ru 2.68
8 Mo 0.3484 0.7500 0.1963  6 V 2.64-2.66, 2 Mo 2.68
9 Ru 0.1513 0.7500 0.8030  6 V 2.64-2.66, 2 Mo 2.68
10 Ru 0.8487 0.2500 0.1970  6 V 2.64-2.66, 2 Mo 2.68

Computed properties:
energy of formation from the pure elements	-3.871	kcal/mol of atoms

7.
Compound: MgMo2Cl
Source: the Alexandria database
Functional: PBE-GGA
Structure: optimized geometry

Unit cell a=5.3811 b=5.3811 c=2.8132 alpha=90.00 beta=90.00 gamma=122.29
With the nearest neighbours (Å) after each atom.
Fractional positions:
1 Cl 0.5000 0.0000 0.5000  2 Mg 2.60, 2 Cl 2.81
2 Mg 0.0000 0.5000 0.5000  2 Cl 2.60, 2 Mg 2.81
3 Mo 0.0000 0.0000 0.0000  4 Mo 2.60-2.81
4 Mo 0.5000 0.5000 0.0000  4 Mo 2.60-2.81

Computed properties:
ΔE to the lowest computed polymorph	0.781	eV per atom
raw formation energy	745	meV per atom

8.
Compound: Li2YCd
Source: the Alexandria database
Functional: PBE-GGA
Structure: optimized geometry

Unit cell a=4.8915 b=4.8915 c=4.8915 alpha=60.00 beta=60.00 gamma=60.00
With the nearest neighbours (Å) after each atom.
Fractional positions:
1 Y 0.0000 0.0000 0.0000  8 Li 3.00
2 Li 0.2500 0.2500 0.2500  4 Cd 3.00, 4 Y 3.00
3 Li 0.7500 0.7500 0.7500  4 Cd 3.00, 4 Y 3.00
4 Cd 0.5000 0.5000 0.5000  8 Li 3.00

Computed properties:
ΔE to the lowest computed polymorph	0.004	eV per atom
energy of formation from the pure elements	-2.352	kcal/mol of atoms

Number 1: magnetization 0.173 μB per atom, N(E_F) 1.273 states/eV per atom. Number 2: magnetization 0.000 μB per atom, N(E_F) 0.592 states/eV per atom. Number 3: magnetization 0.000 μB per atom, N(E_F) 0.383 states/eV per atom. Number 4: magnetization 0.000 μB per atom, N(E_F) 0.000 states/eV per atom. Number 5: magnetization 0.000 μB per atom, N(E_F) 1.273 states/eV per atom. Number 6: magnetization 0.000 μB per atom, N(E_F) 0.621 states/eV per atom. Number 7: magnetization 0.000 μB per atom, N(E_F) 1.068 states/eV per atom. Number 8: magnetization 0.000 μB per atom, N(E_F) 1.081 states/eV per atom.